Material: Dy2SiSnOs
Method: DFT, PBE
State: relaxed

```
Dy2SiSnOs
1.0
5.479 -2.145 0.000
5.479 2.145 0.000
-5.035 0.000 9.296
Dy Os Si Sn
4 2 2 2
Direct
0.006 0.006 0.161
0.811 0.811 0.370
0.189 0.189 0.630
0.994 0.994 0.839
0.264 0.264 0.119
0.736 0.736 0.881
0.648 0.648 0.058
0.352 0.352 0.942
0.523 0.523 0.373
0.477 0.477 0.627
```

Summary:
space-group type: C2/m (12)
VASP energy: -6.68 eV/atom

---

Material: MgNi2Se3
Method: DFT, PBE
State: relaxed

```
MgNi2Se3
1.0
-1.874 -3.760 -4.834
-1.600 -5.877 -1.978
-8.939 1.717 2.130
Mg Ni Se
2 4 6
Direct
0.767 0.767 0.250
0.233 0.233 0.750
0.000 0.000 0.000
0.457 0.457 0.250
0.000 0.000 0.500
0.543 0.543 0.750
0.358 0.358 0.039
0.080 0.080 0.250
0.358 0.358 0.461
0.642 0.642 0.539
0.920 0.920 0.750
0.642 0.642 0.961
```

Summary:
space-group type: Cmcm (63)
VASP energy: -4.22 eV/atom

---

Material: PrBeSi
Method: DFT, PBE
State: relaxed

```
PrBeSi
1.0
0.000 3.336 3.336
3.336 0.000 3.336
3.336 3.336 0.000
Be Pr Si
1 1 1
Direct
0.750 0.750 0.750
0.500 0.500 0.500
0.250 0.250 0.250
```

Summary:
space-group type: F-43m (216)
VASP energy: -4.09 eV/atom

---

Material: CsCoBiS3
Method: DFT, PBE
State: relaxed

```
CsCoBiS3
1.0
1.036 7.823 -0.626
-4.592 -6.411 -0.698
-3.362 1.276 10.389
Bi Co Cs S
2 2 2 6
Direct
0.000 0.000 0.000
0.000 0.000 0.500
0.538 0.462 0.250
0.462 0.538 0.750
0.264 0.736 0.250
0.736 0.264 0.750
0.617 0.383 0.074
0.957 0.043 0.250
0.617 0.383 0.426
0.383 0.617 0.574
0.043 0.957 0.750
0.383 0.617 0.926
```

Summary:
space-group type: Cmcm (63)
VASP energy: -4.59 eV/atom

---

Material: LuSnNO
Method: DFT, PBE
State: relaxed

```
LuSnNO
1.0
6.598 0.000 0.000
0.000 6.994 0.000
0.000 0.000 5.606
Lu N O Sn
4 4 4 4
Direct
0.907 0.356 0.482
0.407 0.644 0.482
0.593 0.356 0.982
0.093 0.644 0.982
0.912 0.388 0.090
0.412 0.612 0.090
0.588 0.388 0.590
0.088 0.612 0.590
0.567 0.082 0.163
0.067 0.918 0.163
0.933 0.082 0.663
0.433 0.918 0.663
0.378 0.169 0.467
0.878 0.831 0.467
0.122 0.169 0.967
0.622 0.831 0.967
```

Summary:
space-group type: Pca2_1 (29)
E above lowest polymorph: 0.31 eV/f.u.

---

Material: NbZnFe
Method: DFT, PBE
State: relaxed

```
NbZnFe
1.0
0.000 2.950 2.950
2.950 0.000 2.950
2.950 2.950 0.000
Fe Nb Zn
1 1 1
Direct
0.250 0.250 0.250
0.000 0.000 0.000
0.750 0.750 0.750
```

Summary:
ΔH_f (0 K): 0.79 eV per atom
space-group type: F-43m (216)

---

Material: NbZnAsO
Method: DFT, PBE
State: relaxed

```
NbZnAsO
1.0
-3.357 -1.969 0.267
-0.004 -0.859 -6.388
2.664 -4.460 0.598
As Nb O Zn
2 2 2 2
Direct
0.000 0.749 0.389
0.000 0.251 0.889
0.000 0.146 0.398
0.000 0.854 0.898
0.500 0.252 0.407
0.500 0.748 0.907
0.500 0.439 0.061
0.500 0.561 0.561
```

Summary:
space-group type: Pmc2_1 (26)
VASP energy: -5.96 eV/atom

---

Material: LaPrZn6Si3
Method: DFT, PBE
State: relaxed

```
LaPrZn6Si3
1.0
7.591 0.000 0.000
-3.795 6.574 0.000
0.000 0.000 4.104
La Pr Si Zn
1 1 3 6
Direct
0.000 0.000 0.000
0.667 0.333 0.000
0.334 0.040 0.500
0.960 0.293 0.500
0.707 0.666 0.500
0.140 0.478 0.000
0.522 0.662 0.000
0.338 0.860 0.000
0.333 0.370 0.500
0.036 0.667 0.500
0.630 0.964 0.500
```

Summary:
space-group type: P-6 (174)
VASP energy: -3.47 eV/atom

---

Material: Gd2TmTl2Cd4
Method: DFT, PBE
State: relaxed

```
Gd2TmTl2Cd4
1.0
4.577 0.000 0.000
0.000 6.515 3.802
0.000 -6.515 3.802
Cd Gd Tl Tm
4 2 2 1
Direct
0.500 0.760 0.001
0.500 0.238 0.238
0.500 0.001 0.760
0.000 0.995 0.995
0.000 0.428 0.002
0.000 0.002 0.428
0.500 0.666 0.336
0.500 0.336 0.666
0.000 0.574 0.574
```

Summary:
space-group type: Amm2 (38)
VASP energy: -2.78 eV/atom

---

Material: NdSnAsO
Method: DFT, PBE
State: relaxed

```
NdSnAsO
1.0
-3.889 0.647 3.071
-2.713 -4.773 -2.430
2.835 -3.852 4.402
As Nd O Sn
2 2 2 2
Direct
0.000 0.292 0.338
0.000 0.708 0.838
0.500 0.811 0.068
0.500 0.189 0.568
0.500 0.856 0.418
0.500 0.144 0.918
0.000 0.776 0.429
0.000 0.224 0.929
```

Summary:
space-group type: Pmc2_1 (26)
E above lowest polymorph: 0.64 eV/f.u.

---

Material: LiTaPd
Method: DFT, PBE
State: relaxed

```
LiTaPd
1.0
1.950 -3.546 0.228
-1.624 -3.076 2.080
-1.443 -3.237 -1.966
Li Pd Ta
1 1 1
Direct
0.000 0.000 0.000
0.250 0.250 0.250
0.750 0.750 0.750
```

Summary:
space-group type: F-43m (216)
E above lowest polymorph: 0.19 eV/f.u.

---

Material: ZnSiAg2S4
Method: DFT, PBE
State: relaxed

```
ZnSiAg2S4
1.0
7.402 0.000 0.000
0.000 7.048 0.000
0.000 0.000 6.498
Ag S Si Zn
4 8 2 2
Direct
0.255 0.668 0.329
0.745 0.668 0.329
0.245 0.332 0.829
0.755 0.332 0.829
0.500 0.152 0.017
0.262 0.320 0.441
0.738 0.320 0.441
0.500 0.886 0.484
0.000 0.848 0.517
0.238 0.680 0.941
0.762 0.680 0.941
0.000 0.114 0.984
0.500 0.162 0.347
0.000 0.838 0.847
0.000 0.140 0.349
0.500 0.860 0.849
```

Summary:
space-group type: Pmn2_1 (31)
VASP energy: -4.09 eV/atom

---

Material: BaCu2GeSeS3
Method: DFT, PBE
State: relaxed

```
BaCu2GeSeS3
1.0
6.323 0.000 0.000
3.065 5.555 0.000
0.998 2.991 5.521
Ba Cu Ge S Se
1 2 1 3 1
Direct
0.998 0.008 0.994
0.669 0.505 0.343
0.332 0.496 0.659
0.502 0.989 0.507
0.171 0.944 0.499
0.839 0.622 0.512
0.505 0.046 0.831
0.486 0.390 0.156
```

Summary:
space-group type: P1 (1)
VASP energy: -4.49 eV/atom

---

Material: TbAgBiSb
Method: DFT, PBE
State: relaxed

```
TbAgBiSb
1.0
4.415 0.000 0.000
0.000 4.415 0.000
0.000 0.000 10.400
Ag Bi Sb Tb
2 2 2 2
Direct
0.000 0.000 0.000
0.500 0.500 0.000
0.500 0.000 0.192
0.000 0.500 0.808
0.000 0.000 0.500
0.500 0.500 0.500
0.000 0.500 0.266
0.500 0.000 0.734
```

Summary:
space-group type: P4/nmm (129)
E above lowest polymorph: 0.14 eV/f.u.

---

Material: YAl2Ga2Ni
Method: DFT, PBE
State: relaxed

```
YAl2Ga2Ni
1.0
-6.062 4.576 -2.382
4.970 -6.087 -1.266
-4.217 -4.055 2.942
Al Ga Ni Y
4 4 2 2
Direct
0.500 0.500 0.000
0.074 0.926 0.250
0.500 0.500 0.500
0.926 0.074 0.750
0.684 0.316 0.051
0.684 0.316 0.449
0.316 0.684 0.551
0.316 0.684 0.949
0.225 0.775 0.250
0.775 0.225 0.750
0.880 0.120 0.250
0.120 0.880 0.750
```

Summary:
space-group type: Cmcm (63)
E above lowest polymorph: 0.35 eV/f.u.

---

Material: Sm3Y3Te2Pt
Method: DFT, PBE
State: relaxed

```
Sm3Y3Te2Pt
1.0
-3.508 7.811 -0.088
-4.905 -6.910 -1.230
-0.638 -0.243 3.905
Pt Sm Te Y
1 3 2 3
Direct
0.000 0.000 0.000
0.248 0.000 0.500
0.000 0.248 0.500
0.752 0.752 0.500
0.667 0.333 0.500
0.333 0.667 0.500
0.596 0.000 0.000
0.404 0.404 0.000
0.000 0.596 0.000
```

Summary:
space-group type: P-62m (189)
E above lowest polymorph: 0.53 eV/f.u.

---

Material: BiIrW2
Method: DFT, PBE
State: relaxed

```
BiIrW2
1.0
-0.939 1.478 4.326
-3.200 3.327 0.686
-4.082 -1.065 1.995
Bi Ir W
1 1 2
Direct
0.500 0.500 0.500
0.250 0.250 0.250
0.000 0.000 0.000
0.750 0.750 0.750
```

Summary:
space-group type: F-43m (216)
VASP energy: -8.86 eV/atom

---

Material: SrSi2Pt2
Method: DFT, PBE
State: relaxed

```
SrSi2Pt2
1.0
-2.170 2.170 5.113
2.170 -2.170 5.113
2.170 2.170 -5.113
Pt Si Sr
2 2 1
Direct
0.360 0.360 0.000
0.640 0.640 0.000
0.750 0.250 0.500
0.250 0.750 0.500
0.000 0.000 0.000
```

Summary:
space-group type: I4/mmm (139)
VASP energy: -5.80 eV/atom

---

Material: MoI3
Method: DFT, PBE
State: relaxed

```
MoI3
1.0
-1.181 -6.375 -0.341
3.228 -1.264 12.450
-7.133 1.216 1.973
I Mo
12 4
Direct
0.000 0.500 0.068
0.000 0.147 0.098
0.000 0.853 0.098
0.500 0.157 0.401
0.500 0.843 0.401
0.500 0.500 0.463
0.000 0.000 0.537
0.000 0.343 0.599
0.000 0.657 0.599
0.500 0.353 0.902
0.500 0.647 0.902
0.500 0.000 0.932
0.277 0.000 0.244
0.723 0.000 0.244
0.223 0.500 0.756
0.777 0.500 0.756
```

Summary:
space-group type: Pmmn (59)
VASP energy: -4.07 eV/atom

---

Material: RbYCuTe3
Method: DFT, PBE
State: relaxed

```
RbYCuTe3
1.0
2.123 -8.213 0.000
2.123 8.213 0.000
0.000 0.000 11.509
Cu Rb Te Y
2 2 6 2
Direct
0.961 0.039 0.250
0.039 0.961 0.750
0.244 0.756 0.250
0.756 0.244 0.750
0.871 0.129 0.061
0.560 0.440 0.250
0.871 0.129 0.439
0.129 0.871 0.561
0.440 0.560 0.750
0.129 0.871 0.939
0.500 0.500 0.000
0.500 0.500 0.500
```

Summary:
space-group type: Cmcm (63)
VASP energy: -4.35 eV/atom

---

Material: NdHoAsO
Method: DFT, PBE
State: relaxed

```
NdHoAsO
1.0
-3.871 1.056 1.604
2.289 -2.068 6.886
1.992 5.704 1.051
As Ho Nd O
2 2 2 2
Direct
0.000 0.319 0.427
0.000 0.681 0.927
0.500 0.894 0.020
0.500 0.106 0.520
0.000 0.703 0.435
0.000 0.297 0.935
0.500 0.838 0.372
0.500 0.162 0.872
```

Summary:
space-group type: Pmc2_1 (26)
E above lowest polymorph: 0.00 eV/f.u.

---

Material: Cs2PtF4
Method: DFT, PBE
State: relaxed

```
Cs2PtF4
1.0
0.843 0.698 -6.238
-6.033 -1.645 -1.005
-2.135 7.494 0.550
Cs F Pt
4 8 2
Direct
0.005 0.502 0.250
0.498 0.995 0.250
0.502 0.005 0.750
0.995 0.498 0.750
0.224 0.224 0.000
0.776 0.776 0.000
0.776 0.224 0.006
0.776 0.224 0.494
0.224 0.224 0.500
0.776 0.776 0.500
0.224 0.776 0.506
0.224 0.776 0.994
0.000 0.000 0.000
0.000 0.000 0.500
```

Summary:
space-group type: Cmcm (63)
VASP energy: -4.25 eV/atom

---

Material: WSe3SBr
Method: DFT, PBE
State: relaxed

```
WSe3SBr
1.0
6.323 0.000 0.000
-0.863 7.894 0.000
-2.298 -4.240 6.696
Br S Se W
2 2 6 2
Direct
0.733 0.636 0.405
0.267 0.364 0.595
0.471 0.774 0.007
0.529 0.226 0.993
0.030 0.835 0.144
0.127 0.314 0.231
0.614 0.073 0.287
0.386 0.927 0.713
0.873 0.686 0.769
0.970 0.165 0.856
0.776 0.000 0.000
0.224 0.000 0.000
```

Summary:
space-group type: P-1 (2)
E above lowest polymorph: 0.10 eV/f.u.